# 1
A plane-wave DFT calculation with PBE was carried out for a geometry-optimized DyAg2Ge structure.

Summary:
Symmetry: No. 166
Excess energy over the best structure of this formula in the dataset, eV per atom: 0.570
Formation enthalpy at 0 K, eV/atom: 0.288

abc: 3.0964 3.0964 10.6696
angles: 81.66 81.66 60.00
With the nearest neighbours (Å) after each atom.
Atoms (fractional coordinates):
Ag 0.9070 0.9070 0.2790  3 Ge 2.93, 1 Dy 2.93, 6 Ag 3.10
Dy 0.0000 0.0000 0.0000  2 Ag 2.93, 6 Dy 3.10
Ag 0.0930 0.0930 0.7210  3 Ge 2.93, 1 Dy 2.93, 6 Ag 3.10
Ge 0.5000 0.5000 0.5000  6 Ag 2.93, 6 Ge 3.10



# 2
A plane-wave DFT calculation with PBE was carried out for a geometry-optimized Dy2AgGe structure.

Summary:
Symmetry: No. 123
Formation enthalpy at 0 K, eV/atom: -0.519

abc: 3.7481 4.9829 4.9829
angles: 90.00 90.00 90.00
With the nearest neighbours (Å) after each atom.
Atoms (fractional coordinates):
Dy 0.0000 0.5000 0.0000  4 Ge 3.12, 4 Ag 3.12
Ge 0.5000 0.0000 0.0000  8 Dy 3.12
Dy 0.0000 0.0000 0.5000  4 Ge 3.12, 4 Ag 3.12
Ag 0.5000 0.5000 0.5000  8 Dy 3.12